A crystal of Y3Co2 relaxed with PBEsol. Source: the Alexandria database, functional meta-GGA SCAN.

a = 3.8183 Å, b = 9.2382 Å, c = 12.0013 Å
α = 90.00°, β = 90.00°, γ = 90.00°
With the nearest neighbours (Å) after each atom.
Positions (direct):
Co  0.5000  0.6216  0.0324  2 Co 2.37-2.38
Co  0.0000  0.8608  0.7292  1 Co 2.37
Co  0.0000  0.8784  0.5324  2 Co 2.37-2.38
Co  0.5000  0.3784  0.9676  2 Co 2.37-2.38
Co  0.0000  0.1216  0.4676  2 Co 2.37-2.38
Co  0.5000  0.6392  0.2292  1 Co 2.37
Co  0.5000  0.3608  0.7708  1 Co 2.37
Co  0.0000  0.1392  0.2708  1 Co 2.37
Y  0.0000  0.1956  0.8746  4 Co 2.74-2.78
Y  0.0000  0.4291  0.1354  7 Co 2.81-3.13
Y  0.5000  0.3044  0.3746  4 Co 2.74-2.78
Y  0.5000  0.8756  0.8848  3 Co 2.67-2.94
Y  0.5000  0.9291  0.3646  7 Co 2.81-3.13
Y  0.5000  0.6956  0.6254  4 Co 2.74-2.78
Y  0.0000  0.5709  0.8646  7 Co 2.81-3.13
Y  0.5000  0.0709  0.6354  7 Co 2.81-3.13
Y  0.0000  0.3756  0.6152  3 Co 2.67-2.94
Y  0.5000  0.1244  0.1152  3 Co 2.67-2.94
Y  0.0000  0.8044  0.1254  4 Co 2.74-2.78
Y  0.0000  0.6244  0.3848  3 Co 2.67-2.94

Values from the calculation:
- Calculated total energy: -23.6853 eV/atom